VASP calculation (PBE+U) on a relaxed structure of LiV2GaO.

Summary:
Total energy = -24.96 eV/cell
Space group = P4/mmm
Crystal system = tetragonal
Total magnetic moment = 1.16 μB/atom

a = 4.101 Å, b = 4.101 Å, c = 4.950 Å
α = 90.00°, β = 90.00°, γ = 90.00°
Atoms (fractional coordinates):
Li1 0.000 0.000 0.000
V1 0.000 0.500 0.500
V2 0.500 0.000 0.500
Ga1 0.500 0.500 0.000
O1 0.500 0.500 0.500